1 | Here is an optimized crystal structure of CuTcNiBi from the Open Quantum Materials Database. Energies are from GGA-PBE.

Lattice parameters (Å, degrees): 6.318 6.318 6.318 90.00 90.00 90.00
Space group F-43m (No. 216)
Inequivalent atoms, fractional coordinates:
Cu 0.000 0.000 0.000 (multiplicity 4)
Tc 0.000 0.000 0.500 (multiplicity 4)
Ni 0.250 0.250 0.250 (multiplicity 4)
Bi 0.250 0.250 0.750 (multiplicity 4)

=====

2 | Here is an optimized crystal structure of CuTcNiBi from the Open Quantum Materials Database. Energies are from GGA-PBE.

Lattice parameters (Å, degrees): 6.387 6.387 6.387 90.00 90.00 90.00
Space group F-43m (No. 216)
Inequivalent atoms, fractional coordinates:
Cu 0.000 0.000 0.000 (multiplicity 4)
Tc 0.250 0.250 0.250 (multiplicity 4)
Ni 0.000 0.000 0.500 (multiplicity 4)
Bi 0.250 0.250 0.750 (multiplicity 4)

=====

Which structure above is the least stable one? 2 is the least stable one.